VASP calculation (GGA-PBE) on an optimized crystal structure of TaGeN3.

Summary:
D(E_F) = 2.7 states/eV/f.u.
magnetization = 1.0 μB per cell
raw formation energy = 2.32 eV per formula unit

Lattice parameters (Å, degrees): 4.0662 4.0662 4.0662 90.00 90.00 90.00
Last column: nearest neighbours and their distance in Å.
Space group Pm-3m (No. 221)
Symmetry-distinct sites (fractional):
Ta 0.0000 0.0000 0.0000  6 N 2.03
Ge 0.5000 0.5000 0.5000  12 N 2.88
N 0.0000 0.0000 0.5000  2 Ta 2.03

VASP calculation (GGA-PBE) on an optimized crystal structure of Ta3GeN.

Summary:
D(E_F) = 4.9 states/eV/f.u.
magnetization = 0.0 μB per cell
raw formation energy = -1.43 eV per formula unit

Lattice parameters (Å, degrees): 4.2374 4.2374 4.2374 90.00 90.00 90.00
Last column: nearest neighbours and their distance in Å.
Space group Pm-3m (No. 221)
Symmetry-distinct sites (fractional):
Ta 0.0000 0.0000 0.5000  2 N 2.12
Ge 0.5000 0.5000 0.5000  12 Ta 3.00
N 0.0000 0.0000 0.0000  6 Ta 2.12

VASP calculation (GGA-PBE) on an optimized crystal structure of TaGe2N.

Summary:
D(E_F) = 1.7 states/eV/f.u.
magnetization = 0.0 μB per cell
raw formation energy = 2.02 eV per formula unit

Lattice parameters (Å, degrees): 5.9317 5.9317 7.1049 90.00 90.00 90.00
Last column: nearest neighbours and their distance in Å.
Space group I-42d (No. 122)
Symmetry-distinct sites (fractional):
Ta 0.0000 0.0000 0.0000  4 Ge 2.65
Ge 0.1606 0.2500 0.6250  2 N 1.97
N 0.0000 0.0000 0.5000  4 Ge 1.97

VASP calculation (GGA-PBE) on an optimized crystal structure of TaGeN3.

Summary:
D(E_F) = 0.8 states/eV/f.u.
magnetization = 0.0 μB per cell
raw formation energy = 4.38 eV per formula unit

Lattice parameters (Å, degrees): 3.7039 3.7039 3.7039 90.00 90.00 90.00
Last column: nearest neighbours and their distance in Å.
Space group Pm-3m (No. 221)
Symmetry-distinct sites (fractional):
Ta 0.0000 0.0000 0.0000  12 N 2.62
Ge 0.5000 0.5000 0.5000  6 N 1.85
N 0.0000 0.5000 0.5000  2 Ge 1.85

VASP calculation (GGA-PBE) on an optimized crystal structure of TaTc2GeN.

Summary:
D(E_F) = 3.7 states/eV/f.u.
magnetization = 0.0 μB per cell
raw formation energy = 7.16 eV per formula unit

Lattice parameters (Å, degrees): 4.7429 4.7429 3.5695 90.00 90.00 90.00
Last column: nearest neighbours and their distance in Å.
Space group P4/mmm (No. 123)
Symmetry-distinct sites (fractional):
Ta 0.0000 0.0000 0.0000  8 Tc 2.97
Tc 0.0000 0.5000 0.5000  2 Ge 2.37
Ge 0.5000 0.5000 0.5000  2 N 1.78
N 0.5000 0.5000 0.0000  2 Ge 1.78

VASP calculation (GGA-PBE) on an optimized crystal structure of TaGeTeN2.

Summary:
D(E_F) = 2.5 states/eV/f.u.
magnetization = 0.1 μB per cell
raw formation energy = 1.60 eV per formula unit

Lattice parameters (Å, degrees): 4.0724 4.0724 5.7500 90.00 90.00 90.00
Last column: nearest neighbours and their distance in Å.
Space group P4/mmm (No. 123)
Symmetry-distinct sites (fractional):
Ta 0.0000 0.0000 0.0000  4 N 2.04
Ge 0.5000 0.5000 0.5000  4 Te 2.88
Te 0.0000 0.0000 0.5000  2 Ta 2.87, 4 Ge 2.88
N 0.0000 0.5000 0.0000  2 Ta 2.04

VASP calculation (GGA-PBE) on an optimized crystal structure of TaGeTeN2.

Summary:
D(E_F) = 3.3 states/eV/f.u.
magnetization = 0.5 μB per cell
raw formation energy = 7.77 eV per formula unit

Lattice parameters (Å, degrees): 3.9442 3.9442 5.3990 90.00 90.00 90.00
Last column: nearest neighbours and their distance in Å.
Space group P4/mmm (No. 123)
Symmetry-distinct sites (fractional):
Ta 0.0000 0.0000 0.0000  4 Te 2.79
Ge 0.5000 0.5000 0.5000  4 N 1.97
Te 0.5000 0.5000 0.0000  2 Ge 2.70, 4 Ta 2.79
N 0.0000 0.5000 0.5000  2 Ge 1.97

VASP calculation (GGA-PBE) on an optimized crystal structure of TaV2GeN.

Summary:
D(E_F) = 5.7 states/eV/f.u.
magnetization = 0.0 μB per cell
raw formation energy = -2.39 eV per formula unit

Lattice parameters (Å, degrees): 3.9387 3.9387 4.2558 90.00 90.00 90.00
Last column: nearest neighbours and their distance in Å.
Space group P4/mmm (No. 123)
Symmetry-distinct sites (fractional):
Ta 0.0000 0.0000 0.0000  2 N 2.13
V 0.0000 0.5000 0.5000  2 N 1.97
Ge 0.5000 0.5000 0.0000  4 Ta 2.79, 8 V 2.90
N 0.0000 0.0000 0.5000  4 V 1.97, 2 Ta 2.13

VASP calculation (GGA-PBE) on an optimized crystal structure of Y2TaGeN5.

Summary:
D(E_F) = 0.0 states/eV/f.u.
magnetization = 0.0 μB per cell
raw formation energy = -9.79 eV per formula unit

Lattice parameters (Å, degrees): 3.1825 13.7044 10.1808 90.00 90.00 90.00
Last column: nearest neighbours and their distance in Å.
Space group Cmc2_1 (No. 36)
Symmetry-distinct sites (fractional):
Y 0.0000 0.1181 0.0000  7 N 2.40-2.61
Y 0.0000 0.1298 0.5672  6 N 2.39-2.57
Ta 0.0000 0.2253 0.2923  5 N 1.99-2.13
Ge 0.0000 0.4911 0.7611  4 N 1.86-1.93
N 0.0000 0.0593 0.3337  2 Ge 1.89
N 0.0000 0.2857 0.9299  2 Ta 2.13
N 0.0000 0.2963 0.6569  2 Ta 2.13
N 0.0000 0.3706 0.2976  1 Ge 1.93, 1 Ta 1.99
N 0.0000 0.5003 0.0783  1 Ge 1.86

VASP calculation (GGA-PBE) on an optimized crystal structure of YTaGe2N.

Summary:
D(E_F) = 2.3 states/eV/f.u.
magnetization = 0.0 μB per cell
raw formation energy = -0.42 eV per formula unit

Lattice parameters (Å, degrees): 4.7134 4.7134 4.0534 90.00 90.00 90.00
Last column: nearest neighbours and their distance in Å.
Space group P4/mmm (No. 123)
Symmetry-distinct sites (fractional):
Y 0.0000 0.0000 0.0000  8 Ge 3.11, 4 Ta 3.33
Ta 0.5000 0.5000 0.0000  2 N 2.03
Ge 0.0000 0.5000 0.5000  2 N 2.36
N 0.5000 0.5000 0.5000  2 Ta 2.03

VASP calculation (GGA-PBE) on an optimized crystal structure of TbGeN.

Summary:
D(E_F) = 1.1 states/eV/f.u.
magnetization = 0.0 μB per cell
raw formation energy = -2.61 eV per formula unit

Lattice parameters (Å, degrees): 3.4714 3.4714 18.9218 90.00 90.00 90.00
Last column: nearest neighbours and their distance in Å.
Space group I4/mmm (No. 139)
Symmetry-distinct sites (fractional):
Tb 0.0000 0.0000 0.1850  5 N 2.34-2.46
Ge 0.0000 0.0000 0.4176  1 N 2.06
N 0.0000 0.0000 0.3087  1 Ge 2.06

VASP calculation (GGA-PBE) on an optimized crystal structure of TbGeN.

Summary:
D(E_F) = 1.1 states/eV/f.u.
magnetization = 0.0 μB per cell
raw formation energy = -1.88 eV per formula unit

Lattice parameters (Å, degrees): 3.8496 4.5564 6.6275 90.00 106.49 90.00
Last column: nearest neighbours and their distance in Å.
Space group P2_1/m (No. 11)
Symmetry-distinct sites (fractional):
Tb 0.1807 0.2500 0.3614  4 N 2.29-2.34
Ge 0.4517 0.2500 0.8918  2 Ge 2.66, 2 N 2.84-2.90
N 0.2231 0.7500 0.4430  4 Tb 2.29-2.34

VASP calculation (GGA-PBE) on an optimized crystal structure of TbGeN2.

Summary:
D(E_F) = 3.9 states/eV/f.u.
magnetization = 0.0 μB per cell
raw formation energy = -1.31 eV per formula unit

Lattice parameters (Å, degrees): 3.4109 3.4109 16.1018 90.00 90.00 120.00
Last column: nearest neighbours and their distance in Å.
Space group R-3m (No. 166, hexagonal axes)
Symmetry-distinct sites (fractional):
Tb 0.0000 0.0000 0.0000  6 N 2.40
Ge 0.0000 0.0000 0.5000  6 N 2.37
N 0.0000 0.0000 0.2484  3 Ge 2.37, 3 Tb 2.40

VASP calculation (GGA-PBE) on an optimized crystal structure of Tb3Ge5N12.

Summary:
D(E_F) = 11.7 states/eV/f.u.
magnetization = 55.6 μB per cell
raw formation energy = 0.41 eV per formula unit

Lattice parameters (Å, degrees): 12.5552 12.5552 12.5552 90.00 90.00 90.00
Last column: nearest neighbours and their distance in Å.
Space group Ia-3d (No. 230)
Symmetry-distinct sites (fractional):
Tb 0.0000 0.2500 0.1250  8 N 2.44-2.50
Ge 0.0000 0.0000 0.0000  6 N 2.02
Ge 0.0000 0.2500 0.3750  4 N 1.87
N 0.0315 0.0548 0.6481  2 Ge 1.87-2.02

VASP calculation (GGA-PBE) on an optimized crystal structure of TbGeN2.

Summary:
D(E_F) = 0.9 states/eV/f.u.
magnetization = 0.0 μB per cell
raw formation energy = -2.68 eV per formula unit

Lattice parameters (Å, degrees): 6.1430 3.6220 6.4577 90.00 111.86 90.00
Last column: nearest neighbours and their distance in Å.
Space group P2_1/m (No. 11)
Symmetry-distinct sites (fractional):
Tb 0.0294 0.2500 0.2620  6 N 2.35-2.58
Ge 0.4914 0.2500 0.8417  2 N 1.78
N 0.1932 0.2500 0.6544  1 Ge 1.78
N 0.2191 0.7500 0.1593  1 Ge 1.78

VASP calculation (GGA-PBE) on an optimized crystal structure of Tb8Ge3Te4N.

Summary:
D(E_F) = 3.4 states/eV/f.u.
magnetization = 0.0 μB per cell
raw formation energy = -19.20 eV per formula unit

Lattice parameters (Å, degrees): 14.3519 8.2891 8.5522 90.00 124.00 90.00
Last column: nearest neighbours and their distance in Å.
Space group C2/m (No. 12)
Symmetry-distinct sites (fractional):
Tb 0.0094 0.2353 0.2930  1 N 2.69, 2 Ge 2.87
Tb 0.2239 0.0000 0.7052  1 N 2.66, 2 Ge 2.87
Tb 0.2415 0.5000 0.7243  3 Ge 2.87, 3 Te 3.09
Ge 0.0000 0.5000 0.5000  6 Tb 2.87
Ge 0.2500 0.2500 0.5000  6 Tb 2.87
Te 0.0000 0.0000 0.0000  6 Tb 3.09-3.12
Te 0.0000 0.5000 0.0000  6 Tb 3.28-3.30
Te 0.2500 0.2500 0.0000  6 Tb 3.09-3.12
N 0.0000 0.0000 0.5000  6 Tb 2.66-2.69

VASP calculation (GGA-PBE) on an optimized crystal structure of TcGeN2.

Summary:
D(E_F) = 0.8 states/eV/f.u.
magnetization = 3.9 μB per cell
raw formation energy = 1.67 eV per formula unit

Lattice parameters (Å, degrees): 4.7324 4.7324 8.5368 90.00 90.00 90.00
Last column: nearest neighbours and their distance in Å.
Space group I-42d (No. 122)
Symmetry-distinct sites (fractional):
Tc 0.0000 0.0000 0.0000  4 N 2.09
Ge 0.0000 0.0000 0.5000  4 N 1.89
N 0.2147 0.2500 0.6250  2 Ge 1.89, 2 Tc 2.09

VASP calculation (GGA-PBE) on an optimized crystal structure of Tc4GeN2.

Summary:
D(E_F) = 11.0 states/eV/f.u.
magnetization = 0.0 μB per cell
raw formation energy = 10.61 eV per formula unit

Lattice parameters (Å, degrees): 4.4913 4.4913 10.8510 90.00 90.00 90.00
Last column: nearest neighbours and their distance in Å.
Space group I4/mmm (No. 139)
Symmetry-distinct sites (fractional):
Tc 0.0000 0.0000 0.2390  1 N 1.74
Tc 0.0000 0.5000 0.0000  2 Ge 2.25, 4 N 2.50
Ge 0.0000 0.0000 0.0000  4 Tc 2.25
N 0.0000 0.0000 0.3996  1 Tc 1.74

VASP calculation (GGA-PBE) on an optimized crystal structure of TcGe3N.

Summary:
D(E_F) = 4.2 states/eV/f.u.
magnetization = 2.0 μB per cell
raw formation energy = 5.34 eV per formula unit

Lattice parameters (Å, degrees): 4.7783 4.7783 4.7783 90.00 90.00 90.00
Last column: nearest neighbours and their distance in Å.
Space group Pm-3m (No. 221)
Symmetry-distinct sites (fractional):
Tc 0.0000 0.0000 0.0000  6 Ge 2.39
Ge 0.0000 0.0000 0.5000  2 Tc 2.39
N 0.5000 0.5000 0.5000  12 Ge 3.38

VASP calculation (GGA-PBE) on an optimized crystal structure of TcGe2N.

Summary:
D(E_F) = 2.5 states/eV/f.u.
magnetization = 6.0 μB per cell
raw formation energy = 1.99 eV per formula unit

Lattice parameters (Å, degrees): 5.7542 5.7542 7.1783 90.00 90.00 90.00
Last column: nearest neighbours and their distance in Å.
Space group I-42d (No. 122)
Symmetry-distinct sites (fractional):
Tc 0.0000 0.0000 0.0000  4 Ge 2.51
Ge 0.1773 0.7500 0.6250  2 N 1.98
N 0.0000 0.0000 0.5000  4 Ge 1.98

VASP calculation (GGA-PBE) on an optimized crystal structure of TcGe3N.

Summary:
D(E_F) = 2.1 states/eV/f.u.
magnetization = 1.7 μB per cell
raw formation energy = 4.12 eV per formula unit

Lattice parameters (Å, degrees): 4.2185 4.2185 4.2185 90.00 90.00 90.00
Last column: nearest neighbours and their distance in Å.
Space group Pm-3m (No. 221)
Symmetry-distinct sites (fractional):
Tc 0.0000 0.0000 0.0000  12 Ge 2.98
Ge 0.0000 0.5000 0.5000  2 N 2.11
N 0.5000 0.5000 0.5000  6 Ge 2.11

VASP calculation (GGA-PBE) on an optimized crystal structure of TcGeN2.

Summary:
D(E_F) = 3.0 states/eV/f.u.
magnetization = 0.0 μB per cell
raw formation energy = 1.14 eV per formula unit

Lattice parameters (Å, degrees): 2.8863 2.8863 19.3300 90.00 90.00 120.00
Last column: nearest neighbours and their distance in Å.
Space group R-3m (No. 166, hexagonal axes)
Symmetry-distinct sites (fractional):
Tc 0.0000 0.0000 0.0000  6 N 2.08
Ge 0.0000 0.0000 0.5000  2 N 1.98
N 0.0000 0.0000 0.3974  1 Ge 1.98, 3 Tc 2.08